1.
Density functional theory data (PBE) for a relaxed structure of YHfI2O.

## Properties
The calculation puts the total magnetic moment at 1.89 μB/f.u. The energy relative to the elements, uncorrected comes out at -0.624 eV/atom. As for the density of states at the Fermi level: 5.49 states/eV/cell. The calculation puts the energy above the most stable polymorph in this dataset at 0.359 eV/atom.

a b c (Å): 6.172 6.172 4.105
angles (deg): 90.00 90.00 90.00
Space group P4/mmm (No. 123)
Unique sites:
Y1 0.000 0.000 0.000 (multiplicity 1)
Hf1 0.500 0.500 0.500 (multiplicity 1)
I1 0.000 0.500 0.000 (multiplicity 2)
O1 0.000 0.000 0.500 (multiplicity 1)


2.
Density functional theory data (PBE) for a relaxed structure of YHfI2O.

## Properties
The calculation puts the total magnetic moment at 0.55 μB/f.u. The energy relative to the elements, uncorrected comes out at -0.983 eV/atom. As for the density of states at the Fermi level: 5.40 states/eV/cell. The calculation puts the energy above the most stable polymorph in this dataset at 0.000 eV/atom.

a b c (Å): 5.937 5.937 3.921
angles (deg): 90.00 90.00 90.00
Space group P4/mmm (No. 123)
Unique sites:
Y1 0.000 0.000 0.000 (multiplicity 1)
Hf1 0.500 0.500 0.500 (multiplicity 1)
I1 0.000 0.500 0.500 (multiplicity 2)
O1 0.500 0.500 0.000 (multiplicity 1)


3.
Density functional theory data (PBE) for a relaxed structure of YHfIO2.

## Properties
The calculation puts the total magnetic moment at 0.52 μB/f.u. The energy relative to the elements, uncorrected comes out at -0.850 eV/atom. As for the density of states at the Fermi level: 3.45 states/eV/cell. The calculation puts the energy above the most stable polymorph in this dataset at 0.780 eV/atom.

a b c (Å): 4.350 4.350 5.882
angles (deg): 90.00 90.00 90.00
Space group P4/mmm (No. 123)
Unique sites:
Y1 0.000 0.000 0.000 (multiplicity 1)
Hf1 0.500 0.500 0.500 (multiplicity 1)
I1 0.000 0.000 0.500 (multiplicity 1)
O1 0.000 0.500 0.000 (multiplicity 2)


4.
Density functional theory data (PBE) for a relaxed structure of HfZrIO2.

## Properties
The calculation puts the total magnetic moment at 1.67 μB/f.u. The energy relative to the elements, uncorrected comes out at -0.937 eV/atom. As for the density of states at the Fermi level: 4.54 states/eV/cell. The calculation puts the energy above the most stable polymorph in this dataset at 0.298 eV/atom.

a b c (Å): 4.128 4.128 6.208
angles (deg): 90.00 90.00 90.00
Space group P4/mmm (No. 123)
Unique sites:
Hf1 0.000 0.000 0.000 (multiplicity 1)
Zr1 0.500 0.500 0.500 (multiplicity 1)
I1 0.500 0.500 0.000 (multiplicity 1)
O1 0.000 0.500 0.500 (multiplicity 2)


5.
Density functional theory data (PBE) for a relaxed structure of HfZrI2O.

## Properties
The calculation puts the total magnetic moment at 1.47 μB/f.u. The energy relative to the elements, uncorrected comes out at -0.442 eV/atom. As for the density of states at the Fermi level: 4.56 states/eV/cell. The calculation puts the energy above the most stable polymorph in this dataset at 0.162 eV/atom.

a b c (Å): 5.892 5.892 3.949
angles (deg): 90.00 90.00 90.00
Space group P4/mmm (No. 123)
Unique sites:
Hf1 0.000 0.000 0.000 (multiplicity 1)
Zr1 0.500 0.500 0.500 (multiplicity 1)
I1 0.000 0.500 0.500 (multiplicity 2)
O1 0.500 0.500 0.000 (multiplicity 1)


6.
Density functional theory data (PBE) for a relaxed structure of HfZrI2O.

## Properties
The calculation puts the total magnetic moment at 2.22 μB/f.u. The energy relative to the elements, uncorrected comes out at -0.604 eV/atom. As for the density of states at the Fermi level: 4.38 states/eV/cell. The calculation puts the energy above the most stable polymorph in this dataset at 0.000 eV/atom.

a b c (Å): 5.834 5.834 3.899
angles (deg): 90.00 90.00 90.00
Space group P4/mmm (No. 123)
Unique sites:
Hf1 0.000 0.000 0.000 (multiplicity 1)
Zr1 0.500 0.500 0.500 (multiplicity 1)
I1 0.000 0.500 0.000 (multiplicity 2)
O1 0.000 0.000 0.500 (multiplicity 1)


7.
Density functional theory data (PBE) for a relaxed structure of HfZrIO2.

## Properties
The calculation puts the total magnetic moment at 1.84 μB/f.u. The energy relative to the elements, uncorrected comes out at -1.235 eV/atom. As for the density of states at the Fermi level: 3.30 states/eV/cell. The calculation puts the energy above the most stable polymorph in this dataset at 0.000 eV/atom.

a b c (Å): 4.094 4.094 6.058
angles (deg): 90.00 90.00 90.00
Space group P4/mmm (No. 123)
Unique sites:
Hf1 0.000 0.000 0.000 (multiplicity 1)
Zr1 0.500 0.500 0.500 (multiplicity 1)
I1 0.000 0.000 0.500 (multiplicity 1)
O1 0.000 0.500 0.000 (multiplicity 2)


8.
Density functional theory data (PBE) for a relaxed structure of HfOs3I.

## Properties
The calculation puts the total magnetic moment at 4.99 μB/f.u. The energy relative to the elements, uncorrected comes out at 2.486 eV/atom. As for the density of states at the Fermi level: 6.23 states/eV/cell. The calculation puts the energy above the most stable polymorph in this dataset at 0.195 eV/atom.

a b c (Å): 4.944 4.944 4.944
angles (deg): 90.00 90.00 90.00
Space group Pm-3m (No. 221)
Unique sites:
Hf1 0.000 0.000 0.000 (multiplicity 1)
Os1 0.000 0.000 0.500 (multiplicity 3)
I1 0.500 0.500 0.500 (multiplicity 1)


9.
Density functional theory data (PBE) for a relaxed structure of HfOsI2.

## Properties
The calculation puts the total magnetic moment at 0.00 μB/f.u. The energy relative to the elements, uncorrected comes out at 0.942 eV/atom. As for the density of states at the Fermi level: 11.64 states/eV/cell. The calculation puts the energy above the most stable polymorph in this dataset at 0.000 eV/atom.

a b c (Å): 6.947 6.947 6.947
angles (deg): 90.00 90.00 90.00
Space group Fm-3m (No. 225)
Unique sites:
Hf1 0.000 0.000 0.000 (multiplicity 4)
Os1 0.000 0.000 0.500 (multiplicity 4)
I1 0.250 0.250 0.250 (multiplicity 8)


10.
Density functional theory data (PBE) for a relaxed structure of HfOsI2.

## Properties
The calculation puts the total magnetic moment at 0.00 μB/f.u. The energy relative to the elements, uncorrected comes out at 1.174 eV/atom. As for the density of states at the Fermi level: 17.05 states/eV/cell. The calculation puts the energy above the most stable polymorph in this dataset at 0.232 eV/atom.

a b c (Å): 6.347 6.347 11.628
angles (deg): 90.00 90.00 90.00
Space group I-42d (No. 122)
Unique sites:
Hf1 0.000 0.000 0.000 (multiplicity 4)
Os1 0.000 0.000 0.500 (multiplicity 4)
I1 0.220 0.250 0.625 (multiplicity 8)


11.
Density functional theory data (PBE) for a relaxed structure of HfOs3I.

## Properties
The calculation puts the total magnetic moment at 0.00 μB/f.u. The energy relative to the elements, uncorrected comes out at 2.291 eV/atom. As for the density of states at the Fermi level: 6.40 states/eV/cell. The calculation puts the energy above the most stable polymorph in this dataset at 0.000 eV/atom.

a b c (Å): 4.767 4.767 4.767
angles (deg): 90.00 90.00 90.00
Space group Pm-3m (No. 221)
Unique sites:
Hf1 0.000 0.000 0.000 (multiplicity 1)
Os1 0.000 0.500 0.500 (multiplicity 3)
I1 0.500 0.500 0.500 (multiplicity 1)


12.
Density functional theory data (PBE) for a relaxed structure of Hf3OsI.

## Properties
The calculation puts the total magnetic moment at 0.00 μB/f.u. The energy relative to the elements, uncorrected comes out at 0.352 eV/atom. As for the density of states at the Fermi level: 2.75 states/eV/cell. The calculation puts the energy above the most stable polymorph in this dataset at 0.000 eV/atom.

a b c (Å): 5.089 5.089 5.089
angles (deg): 90.00 90.00 90.00
Space group Pm-3m (No. 221)
Unique sites:
Hf1 0.000 0.000 0.500 (multiplicity 3)
Os1 0.000 0.000 0.000 (multiplicity 1)
I1 0.500 0.500 0.500 (multiplicity 1)


Repeat the third record exactly.
Density functional theory data (PBE) for a relaxed structure of YHfIO2.

## Properties
The calculation puts the total magnetic moment at 0.52 μB/f.u. The energy relative to the elements, uncorrected comes out at -0.850 eV/atom. As for the density of states at the Fermi level: 3.45 states/eV/cell. The calculation puts the energy above the most stable polymorph in this dataset at 0.780 eV/atom.

a b c (Å): 4.350 4.350 5.882
angles (deg): 90.00 90.00 90.00
Space group P4/mmm (No. 123)
Unique sites:
Y1 0.000 0.000 0.000 (multiplicity 1)
Hf1 0.500 0.500 0.500 (multiplicity 1)
I1 0.000 0.000 0.500 (multiplicity 1)
O1 0.000 0.500 0.000 (multiplicity 2)


Question: The lowest energy relative to the elements, uncorrected belongs to which entry?
Answer: number 7


Question: Among the records above, which one has the highest energy relative to the elements, uncorrected?
Answer: number 8